Entry 1:
Below is a geometry-optimized RbAcInO3 structure, with properties calculated at the PBE level.

Lattice parameters (Å, degrees): 6.9030 3.7620 9.3931 90.00 90.79 90.00
Space group P2_1/m (No. 11)
Asymmetric unit:
Rb 0.1472 0.2500 0.1894 [2 per cell]
Ac 0.2435 0.7500 0.5612 [2 per cell]
In 0.4006 0.2500 0.8666 [2 per cell]
O 0.0302 0.2500 0.6195 [2 per cell]
O 0.2434 0.7500 0.8480 [2 per cell]
O 0.4939 0.7500 0.3478 [2 per cell]

Computed properties:
Electronic total energy, eV/atom: -5.805
E_form (uncorrected), eV/atom: -2.02
Crystal system: monoclinic

---

Entry 2:
Below is a geometry-optimized Li2Cd3In3 structure, with properties calculated at the PBE level.

Lattice parameters (Å, degrees): 4.4411 4.4532 8.8852 90.00 90.00 90.00
Space group Pmmm (No. 47)
Asymmetric unit:
Li 0.0000 0.0000 0.2474 [2 per cell]
Cd 0.5000 0.0000 0.0000 [1 per cell]
Cd 0.5000 0.5000 0.2457 [2 per cell]
In 0.0000 0.5000 0.0000 [1 per cell]
In 0.0000 0.5000 0.5000 [1 per cell]
In 0.5000 0.0000 0.5000 [1 per cell]

Computed properties:
Electronic total energy, eV/atom: -2.002
Energy above the lowest structure with this stoichiometry, eV per formula unit: 0.00
Formation enthalpy at 0 K, meV per atom: -153.5
Crystal system: orthorhombic

---

Entry 3:
Below is a geometry-optimized BaDyBi structure, with properties calculated at the PBE level.

Lattice parameters (Å, degrees): 4.0698 4.0698 14.2403 90.00 90.00 90.00
Space group P4/mmm (No. 123)
Asymmetric unit:
Ba 0.0000 0.0000 0.1600 [2 per cell]
Dy 0.5000 0.5000 0.3852 [2 per cell]
Bi 0.0000 0.0000 0.5000 [1 per cell]
Bi 0.5000 0.5000 0.0000 [1 per cell]

Computed properties:
Electronic total energy, eV/atom: -3.835
Formation enthalpy at 0 K, meV per atom: -366.6
Crystal system: tetragonal

---

Entry 4:
Below is a geometry-optimized TbNdSm6 structure, with properties calculated at the PBE level.

Lattice parameters (Å, degrees): 5.1248 5.1248 10.2501 90.00 90.00 90.00
Space group P4/mmm (No. 123)
Asymmetric unit:
Tb 0.0000 0.0000 0.0000 [1 per cell]
Nd 0.0000 0.0000 0.5000 [1 per cell]
Sm 0.0000 0.5000 0.2481 [4 per cell]
Sm 0.5000 0.5000 0.0000 [1 per cell]
Sm 0.5000 0.5000 0.5000 [1 per cell]

Computed properties:
Electronic total energy, eV/atom: -4.696
Energy above the lowest structure with this stoichiometry, eV per formula unit: 0.00
Formation enthalpy at 0 K, meV per atom: 17.7
Crystal system: tetragonal

---

Entry 5:
Below is a geometry-optimized Ac2Ga3Pd12Rh structure, with properties calculated at the PBE level.

Lattice parameters (Å, degrees): 8.3966 8.3966 18.5127 90.00 90.00 120.00
Space group R-3m (No. 166, hexagonal axes)
Asymmetric unit:
Ac 0.0000 0.0000 0.1146 [6 per cell]
Ga 0.0000 0.5000 0.0000 [9 per cell]
Pd 0.0096 0.5048 0.8689 [18 per cell]
Pd 0.0202 0.5101 0.3744 [18 per cell]
Rh 0.0000 0.0000 0.5000 [3 per cell]

Computed properties:
Electronic total energy, eV/atom: -5.030
Formation enthalpy at 0 K, meV per atom: -198.8
Crystal system: trigonal

---

Entry 6:
Below is a geometry-optimized Na2CaOsAu structure, with properties calculated at the PBE level.

Lattice parameters (Å, degrees): 5.5100 5.5100 5.2806 90.00 90.00 90.00
Space group P4/mmm (No. 123)
Asymmetric unit:
Na 0.0000 0.5000 0.0000 [2 per cell]
Ca 0.0000 0.0000 0.5000 [1 per cell]
Os 0.0000 0.0000 0.0000 [1 per cell]
Au 0.5000 0.5000 0.5000 [1 per cell]

Computed properties:
Electronic total energy, eV/atom: -2.911
Formation enthalpy at 0 K, meV per atom: 918.3
Crystal system: tetragonal

---

Entry 7:
Below is a geometry-optimized Re2NiTe structure, with properties calculated at the PBE level.

Lattice parameters (Å, degrees): 9.0047 3.1049 4.6454 90.00 97.80 90.00
Space group C2/m (No. 12)
Asymmetric unit:
Re 0.2273 0.0000 0.2059 [4 per cell]
Ni 0.0000 0.5000 0.0000 [2 per cell]
Te 0.0000 0.0000 0.5000 [2 per cell]

Computed properties:
Electronic total energy, eV/atom: -7.922
E_form (uncorrected), eV/atom: 0.53
Crystal system: monoclinic

---

Entry 8:
Below is a geometry-optimized Y3InO structure, with properties calculated at the PBE level.

Lattice parameters (Å, degrees): 4.5928 4.6177 11.1868 90.00 90.00 90.00
Space group Pmmn (No. 59, origin choice 2)
Asymmetric unit:
Y 0.2500 0.2500 0.0006 [2 per cell]
Y 0.2500 0.2500 0.4985 [2 per cell]
Y 0.2500 0.7500 0.2497 [2 per cell]
In 0.2500 0.7500 0.7660 [2 per cell]
O 0.2500 0.7500 0.4516 [2 per cell]

Computed properties:
Electronic total energy, eV/atom: -6.788
E_form (uncorrected), eV/atom: -1.37
Crystal system: orthorhombic

---

Entry 9:
Below is a geometry-optimized SmTmInRu structure, with properties calculated at the PBE level.

Lattice parameters (Å, degrees): 3.3895 3.3895 8.3121 90.00 90.00 90.00
Space group P4mm (No. 99)
Asymmetric unit:
Sm 0.0000 0.0000 0.0000 [1 per cell]
Tm 0.0000 0.0000 0.5930 [1 per cell]
In 0.5000 0.5000 0.3056 [1 per cell]
Ru 0.5000 0.5000 0.7843 [1 per cell]

Computed properties:
Electronic total energy, eV/atom: -5.740
Energy above the lowest structure with this stoichiometry, eV per formula unit: 0.00
Formation enthalpy at 0 K, meV per atom: -438.5
Crystal system: tetragonal

---

Entry 10:
Below is a geometry-optimized Hg2MoAs structure, with properties calculated at the PBE level.

Lattice parameters (Å, degrees): 5.1483 5.1483 3.0057 90.00 90.00 90.00
Space group P4/mmm (No. 123)
Asymmetric unit:
Hg 0.0000 0.5000 0.0000 [2 per cell]
Mo 0.0000 0.0000 0.5000 [1 per cell]
As 0.5000 0.5000 0.5000 [1 per cell]

Computed properties:
Electronic total energy, eV/atom: -3.261
Formation enthalpy at 0 K, meV per atom: 759.9
Crystal system: tetragonal

---

Entry 11:
Below is a geometry-optimized Rb2HfGa2O6 structure, with properties calculated at the PBE level.

Lattice parameters (Å, degrees): 10.3159 5.9598 6.9768 90.00 118.10 90.00
Space group C2/m (No. 12)
Asymmetric unit:
Rb 0.2045 0.0000 0.1170 [4 per cell]
Hf 0.0000 0.0000 0.5000 [2 per cell]
Ga 0.0993 0.5000 0.3061 [4 per cell]
O 0.0063 0.2419 0.2862 [8 per cell]
O 0.2283 0.0000 0.6943 [4 per cell]

Computed properties:
Electronic total energy, eV/atom: -6.490
E_form (uncorrected), eV/atom: -2.15
Crystal system: monoclinic

---

Entry 12:
Below is a geometry-optimized IrSeBr2 structure, with properties calculated at the PBE level.

Lattice parameters (Å, degrees): 3.6501 3.6501 28.1564 90.00 90.00 120.00
Space group R-3m (No. 166, hexagonal axes)
Asymmetric unit:
Ir 0.0000 0.0000 0.0000 [3 per cell]
Se 0.0000 0.0000 0.5000 [3 per cell]
Br 0.0000 0.0000 0.3845 [6 per cell]

Computed properties:
Electronic total energy, eV/atom: -3.337
E_form (uncorrected), eV/atom: 0.59
Energy above the lowest structure with this stoichiometry, eV per formula unit: 2.60
Crystal system: trigonal

---

Entry 13:
Below is a geometry-optimized Ho2TmAg structure, with properties calculated at the PBE level.

Lattice parameters (Å, degrees): 3.5116 3.5116 31.2273 90.00 90.00 120.00
Space group R-3m (No. 166, hexagonal axes)
Asymmetric unit:
Ho 0.0000 0.0000 0.2424 [6 per cell]
Tm 0.0000 0.0000 0.0000 [3 per cell]
Ag 0.0000 0.0000 0.5000 [3 per cell]

Computed properties:
Electronic total energy, eV/atom: -4.140
Energy above the lowest structure with this stoichiometry, eV per formula unit: 0.44
Formation enthalpy at 0 K, meV per atom: -20.2
Crystal system: trigonal

---

Entry 14:
Below is a geometry-optimized SrSc2Be structure, with properties calculated at the PBE level.

Lattice parameters (Å, degrees): 3.5813 3.5813 29.1139 90.00 90.00 120.00
Space group R-3m (No. 166, hexagonal axes)
Asymmetric unit:
Sr 0.0000 0.0000 0.0000 [3 per cell]
Sc 0.0000 0.0000 0.2216 [6 per cell]
Be 0.0000 0.0000 0.5000 [3 per cell]

Computed properties:
Electronic total energy, eV/atom: -4.168
Formation enthalpy at 0 K, meV per atom: 349.6
Crystal system: trigonal

---

Entry 15:
Below is a geometry-optimized Ba2GaBi structure, with properties calculated at the PBE level.

Lattice parameters (Å, degrees): 9.3060 9.3060 7.6888 90.00 90.00 90.00
Space group I-42d (No. 122)
Asymmetric unit:
Ba 0.2420 0.2500 0.1250 [8 per cell]
Ga 0.0000 0.0000 0.0000 [4 per cell]
Bi 0.0000 0.0000 0.5000 [4 per cell]

Computed properties:
Electronic total energy, eV/atom: -2.983
Energy above the lowest structure with this stoichiometry, eV per formula unit: 1.07
Formation enthalpy at 0 K, meV per atom: -295.0
Crystal system: tetragonal

---

Entry 16:
Below is a geometry-optimized Be4Au structure, with properties calculated at the PBE level.

Lattice parameters (Å, degrees): 3.0682 3.0682 11.4129 90.00 90.00 90.00
Space group I4/mmm (No. 139)
Asymmetric unit:
Be 0.0000 0.0000 0.1033 [4 per cell]
Be 0.0000 0.5000 0.2500 [4 per cell]
Au 0.0000 0.0000 0.5000 [2 per cell]

Computed properties:
Electronic total energy, eV/atom: -3.425
Energy above the lowest structure with this stoichiometry, eV per formula unit: 0.00
Formation enthalpy at 0 K, meV per atom: 211.8
Crystal system: tetragonal

---

Entry 17:
Below is a geometry-optimized VPdRuRh structure, with properties calculated at the PBE level.

Lattice parameters (Å, degrees): 3.8894 3.9006 7.5568 90.00 91.16 90.00
Space group Cm (No. 8)
Asymmetric unit:
V 0.0000 0.0000 0.0000 [2 per cell]
Pd 0.4622 0.5000 0.4975 [2 per cell]
Ru 0.4233 0.0000 0.2326 [2 per cell]
Rh 0.4697 0.0000 0.7718 [2 per cell]

Computed properties:
Electronic total energy, eV/atom: -7.864
Formation enthalpy at 0 K, meV per atom: -129.8
Crystal system: monoclinic

---

Entry 18:
Below is a geometry-optimized PmPuCd2O6 structure, with properties calculated at the PBE level.

Lattice parameters (Å, degrees): 5.8116 5.8116 15.5098 90.00 90.00 120.00
Space group R3 (No. 146, hexagonal axes)
Asymmetric unit:
Pm 0.0000 0.0000 0.0000 [3 per cell]
Pu 0.0000 0.0000 0.4926 [3 per cell]
Cd 0.0000 0.0000 0.2764 [3 per cell]
Cd 0.0000 0.0000 0.7850 [3 per cell]
O 0.0376 0.3365 0.5649 [9 per cell]
O 0.0521 0.6788 0.0710 [9 per cell]

Computed properties:
Electronic total energy, eV/atom: -7.280
E_form (uncorrected), eV/atom: -2.21
Crystal system: trigonal

---

Entry 19:
Below is a geometry-optimized Sm6In3Rh structure, with properties calculated at the PBE level.

Lattice parameters (Å, degrees): 9.3923 5.3491 11.5864 90.00 107.24 90.00
Space group P2_1/m (No. 11)
Asymmetric unit:
Sm 0.0425 0.2500 0.4150 [2 per cell]
Sm 0.1855 0.7500 0.1675 [2 per cell]
Sm 0.2810 0.2500 0.0017 [2 per cell]
Sm 0.3517 0.7500 0.8261 [2 per cell]
Sm 0.3718 0.2500 0.3469 [2 per cell]
Sm 0.4036 0.2500 0.6404 [2 per cell]
In 0.0163 0.7500 0.8791 [2 per cell]
In 0.1010 0.2500 0.7189 [2 per cell]
In 0.2727 0.7500 0.4757 [2 per cell]
Rh 0.4592 0.7500 0.0956 [2 per cell]

Computed properties:
Electronic total energy, eV/atom: -4.804
Energy above the lowest structure with this stoichiometry, eV per formula unit: 0.00
Formation enthalpy at 0 K, meV per atom: -416.1
Crystal system: monoclinic

---

Entry 20:
Below is a geometry-optimized K8Rb3Pd structure, with properties calculated at the PBE level.

Lattice parameters (Å, degrees): 14.0645 14.0645 9.4637 90.00 90.00 120.00
Space group P6_3mc (No. 186)
Asymmetric unit:
K 0.0000 0.0000 0.0204 [2 per cell]
K 0.0584 0.5292 0.0000 [6 per cell]
K 0.2263 0.4526 0.2875 [6 per cell]
K 0.3333 0.6667 0.7066 [2 per cell]
Rb 0.1546 0.3092 0.7697 [6 per cell]
Pd 0.3333 0.6667 0.0569 [2 per cell]

Computed properties:
Electronic total energy, eV/atom: -1.371
Formation enthalpy at 0 K, meV per atom: 35.2
Crystal system: hexagonal